[1]
Density functional theory data (PBE-GGA) for an optimized crystal structure of Tb3Ce2SmS6.

a = 6.8621 Å, b = 6.8621 Å, c = 6.9189 Å
α = 99.55°, β = 99.55°, γ = 120.05°
Element x y z (fractional)
Tb1 0.0000 0.0000 0.0000
Tb2 0.3349 0.6651 0.0000
Tb3 0.6651 0.3349 0.0000
Ce1 0.1664 0.8336 0.5000
Ce2 0.8336 0.1664 0.5000
Sm1 0.5000 0.5000 0.5000
S1 0.0805 0.4137 0.2408
S2 0.2529 0.2529 0.7579
S3 0.4137 0.0805 0.2408
S4 0.5863 0.9195 0.7592
S5 0.7471 0.7471 0.2421
S6 0.9195 0.5863 0.7592

Summary:
Formation energy (no corrections) = -2033 meV per atom
Space-group type = C2/m, No. 12

[2]
Density functional theory data (PBE-GGA) for an optimized crystal structure of TeMo2As.

a = 4.2283 Å, b = 4.2283 Å, c = 7.9249 Å
α = 90.00°, β = 90.00°, γ = 90.00°
Element x y z (fractional)
Te1 0.0000 0.0000 0.0000
Te2 0.5000 0.5000 0.5000
Mo1 0.0000 0.0000 0.5000
Mo2 0.0000 0.5000 0.2500
Mo3 0.5000 0.0000 0.7500
Mo4 0.5000 0.5000 0.0000
As1 0.0000 0.5000 0.7500
As2 0.5000 0.0000 0.2500

Summary:
Formation energy (no corrections) = 472 meV per atom
Space-group type = I-4m2, No. 119

[3]
Density functional theory data (PBE-GGA) for an optimized crystal structure of PmNd7Dy4.

a = 6.3526 Å, b = 7.3233 Å, c = 9.0347 Å
α = 89.98°, β = 76.42°, γ = 89.99°
Element x y z (fractional)
Pm1 0.0000 0.0000 0.0000
Nd1 0.0000 0.5000 0.0000
Nd2 0.2223 0.0004 0.3344
Nd3 0.2803 0.2516 0.6644
Nd4 0.5000 0.2530 0.0013
Nd5 0.5000 0.7470 0.9987
Nd6 0.7197 0.7484 0.3356
Nd7 0.7777 0.9996 0.6656
Dy1 0.2190 0.5002 0.3348
Dy2 0.2780 0.7467 0.6668
Dy3 0.7220 0.2533 0.3332
Dy4 0.7810 0.4998 0.6652

Summary:
Space-group type = P-1, No. 2
Energy of formation = 0.007 eV per atom

[4]
Density functional theory data (PBE-GGA) for an optimized crystal structure of PIrAuC.

a = 4.7277 Å, b = 2.7958 Å, c = 10.6777 Å
α = 90.00°, β = 90.00°, γ = 90.00°
Element x y z (fractional)
P1 0.0000 0.0000 0.0000
P2 0.0000 0.5000 0.5000
Ir1 0.0000 0.0000 0.2148
Ir2 0.0000 0.5000 0.7148
Au1 0.5000 0.0000 0.7077
Au2 0.5000 0.5000 0.2077
C1 0.0000 0.0000 0.4045
C2 0.0000 0.5000 0.9045

Summary:
Space-group type = Amm2, No. 38
Energy of formation = 0.374 eV per atom

[5]
Density functional theory data (PBE-GGA) for an optimized crystal structure of Ba2PrHg.

a = 4.0925 Å, b = 4.0925 Å, c = 10.0963 Å
α = 90.00°, β = 90.00°, γ = 90.00°
Element x y z (fractional)
Ba1 0.0000 0.0000 0.2104
Ba2 0.0000 0.0000 0.7896
Pr1 0.5000 0.5000 0.5000
Hg1 0.5000 0.5000 0.0000

Summary:
Space-group type = P4/mmm, No. 123
Energy of formation = -0.118 eV per atom

[6]
Density functional theory data (PBE-GGA) for an optimized crystal structure of SmTmAlAg.

a = 3.5614 Å, b = 3.5614 Å, c = 7.5932 Å
α = 90.00°, β = 90.00°, γ = 90.00°
Element x y z (fractional)
Sm1 0.0000 0.0000 0.0000
Tm1 0.0000 0.0000 0.5014
Al1 0.5000 0.5000 0.7417
Ag1 0.5000 0.5000 0.2786

Summary:
Space-group type = P4mm, No. 99
Energy of formation = -0.354 eV per atom

[7]
Density functional theory data (PBE-GGA) for an optimized crystal structure of InRu2Rh.

a = 2.8403 Å, b = 2.8403 Å, c = 26.7488 Å
α = 90.00°, β = 90.00°, γ = 120.00°
Element x y z (fractional)
In1 0.0000 0.0000 0.0000
In2 0.3333 0.6667 0.6667
In3 0.6667 0.3333 0.3333
Ru1 0.0000 0.0000 0.2464
Ru2 0.0000 0.0000 0.7536
Ru3 0.3333 0.6667 0.4203
Ru4 0.3333 0.6667 0.9130
Ru5 0.6667 0.3333 0.0870
Ru6 0.6667 0.3333 0.5797
Rh1 0.0000 0.0000 0.5000
Rh2 0.3333 0.6667 0.1667
Rh3 0.6667 0.3333 0.8333

Summary:
Space-group type = R-3m, No. 166
Energy of formation = 0.298 eV per atom

[8]
Density functional theory data (PBE-GGA) for an optimized crystal structure of In5Pb4.

a = 8.6159 Å, b = 8.6159 Å, c = 8.6159 Å
α = 92.70°, β = 92.70°, γ = 154.92°
Element x y z (fractional)
In1 0.0000 0.0000 0.0000
In2 0.3341 0.3341 0.6681
In3 0.3341 0.6659 0.0000
In4 0.6659 0.3341 0.0000
In5 0.6659 0.6659 0.3319
Pb1 0.0000 0.3277 0.3277
Pb2 0.0000 0.6723 0.6723
Pb3 0.3277 0.0000 0.3277
Pb4 0.6723 0.0000 0.6723

Summary:
Space-group type = I4/mmm, No. 139
Energy of formation = 0.035 eV per atom

[9]
Density functional theory data (PBE-GGA) for an optimized crystal structure of TmU3In3Se8.

a = 8.2306 Å, b = 8.2306 Å, c = 9.1512 Å
α = 116.72°, β = 116.72°, γ = 60.01°
Element x y z (fractional)
Tm1 0.0000 0.0000 0.0000
U1 0.0000 0.5000 0.0000
U2 0.5000 0.0000 0.0000
U3 0.5000 0.5000 0.0000
In1 0.0000 0.0000 0.5000
In2 0.0000 0.5000 0.5000
In3 0.5000 0.0000 0.5000
Se1 0.2339 0.2339 0.2064
Se2 0.2345 0.7385 0.2059
Se3 0.2615 0.7655 0.7941
Se4 0.2633 0.2633 0.7894
Se5 0.7367 0.7367 0.2106
Se6 0.7385 0.2345 0.2059
Se7 0.7655 0.2615 0.7941
Se8 0.7661 0.7661 0.7936

Summary:
Formation energy (no corrections) = -1026 meV per atom
Space-group type = C2/m, No. 12

[10]
Density functional theory data (PBE-GGA) for an optimized crystal structure of Rb2InGe2O6.

a = 6.8923 Å, b = 6.8923 Å, c = 6.8923 Å
α = 51.59°, β = 51.59°, γ = 51.59°
Element x y z (fractional)
Rb1 0.2154 0.2154 0.2154
Rb2 0.7846 0.7846 0.7846
In1 0.0000 0.0000 0.0000
Ge1 0.4241 0.4241 0.4241
Ge2 0.5759 0.5759 0.5759
O1 0.2423 0.2423 0.7404
O2 0.2423 0.7404 0.2423
O3 0.2596 0.7577 0.7577
O4 0.7404 0.2423 0.2423
O5 0.7577 0.2596 0.7577
O6 0.7577 0.7577 0.2596

Summary:
Formation energy (no corrections) = -1511 meV per atom
Space-group type = R-3m, No. 166

[11]
Density functional theory data (PBE-GGA) for an optimized crystal structure of SiAgBr.

a = 6.6562 Å, b = 6.6562 Å, c = 6.6562 Å
α = 90.00°, β = 90.00°, γ = 90.00°
Element x y z (fractional)
Si1 0.0000 0.0000 0.0000
Si2 0.0000 0.5000 0.5000
Si3 0.5000 0.0000 0.5000
Si4 0.5000 0.5000 0.0000
Ag1 0.2500 0.2500 0.7500
Ag2 0.2500 0.7500 0.2500
Ag3 0.7500 0.2500 0.2500
Ag4 0.7500 0.7500 0.7500
Br1 0.0000 0.0000 0.5000
Br2 0.0000 0.5000 0.0000
Br3 0.5000 0.0000 0.0000
Br4 0.5000 0.5000 0.5000

Summary:
Formation energy (no corrections) = 646 meV per atom
Space-group type = F-43m, No. 216

[12]
Density functional theory data (PBE-GGA) for an optimized crystal structure of Dy2ErLu.

a = 4.9613 Å, b = 4.9613 Å, c = 4.9473 Å
α = 90.00°, β = 90.00°, γ = 90.00°
Element x y z (fractional)
Dy1 0.0000 0.5000 0.0000
Dy2 0.5000 0.0000 0.0000
Er1 0.0000 0.0000 0.5000
Lu1 0.5000 0.5000 0.5000

Summary:
Space-group type = P4/mmm, No. 123
Energy of formation = 0.025 eV per atom

[13]
Density functional theory data (PBE-GGA) for an optimized crystal structure of NaLi2LaPd.

a = 5.2012 Å, b = 5.2012 Å, c = 5.4296 Å
α = 90.00°, β = 90.00°, γ = 90.00°
Element x y z (fractional)
Na1 0.0000 0.0000 0.0000
Li1 0.0000 0.5000 0.5000
Li2 0.5000 0.0000 0.5000
La1 0.5000 0.5000 0.0000
Pd1 0.5000 0.5000 0.5000

Summary:
Space-group type = P4/mmm, No. 123
Energy of formation = -0.058 eV per atom

[14]
Density functional theory data (PBE-GGA) for an optimized crystal structure of AcLaFeN3.

a = 7.4834 Å, b = 3.5988 Å, c = 7.9347 Å
α = 90.00°, β = 98.20°, γ = 90.00°
Element x y z (fractional)
Ac1 0.1849 0.2500 0.1740
Ac2 0.8151 0.7500 0.8260
La1 0.1856 0.2500 0.6362
La2 0.8144 0.7500 0.3638
Fe1 0.4086 0.7500 0.9286
Fe2 0.5914 0.2500 0.0714
N1 0.1403 0.7500 0.3934
N2 0.1610 0.7500 0.8738
N3 0.4753 0.2500 0.8557
N4 0.5247 0.7500 0.1443
N5 0.8390 0.2500 0.1262
N6 0.8597 0.2500 0.6066

Summary:
Formation energy (no corrections) = -829 meV per atom
Space-group type = P2_1/m, No. 11

[15]
Density functional theory data (PBE-GGA) for an optimized crystal structure of SrLa2PmAs4.

a = 7.5292 Å, b = 4.3655 Å, c = 7.5965 Å
α = 90.00°, β = 109.54°, γ = 90.00°
Element x y z (fractional)
Sr1 0.0000 0.0000 0.0000
La1 0.5000 0.0000 0.5000
La2 0.5000 0.5000 0.0000
Pm1 0.0000 0.5000 0.5000
As1 0.2487 0.0000 0.7424
As2 0.2555 0.5000 0.2603
As3 0.7445 0.5000 0.7397
As4 0.7513 0.0000 0.2576

Summary:
Space-group type = P2/m, No. 10
Energy of formation = -1.368 eV per atom

[16]
Density functional theory data (PBE-GGA) for an optimized crystal structure of AcOsBr.

a = 7.5453 Å, b = 4.3596 Å, c = 12.2392 Å
α = 90.00°, β = 102.13°, γ = 90.00°
Element x y z (fractional)
Ac1 0.0000 0.0000 0.0000
Ac2 0.1236 0.0000 0.3631
Ac3 0.5000 0.5000 0.0000
Ac4 0.6236 0.5000 0.3631
Os1 0.2288 0.5000 0.1815
Os2 0.3950 0.0000 0.1815
Os3 0.7288 0.0000 0.1815
Os4 0.8950 0.5000 0.1815
Br1 0.0147 0.5000 0.5317
Br2 0.2759 0.0000 0.8314
Br3 0.5147 0.0000 0.5317
Br4 0.7759 0.5000 0.8314

Summary:
Formation energy (no corrections) = -967 meV per atom
Space-group type = Cm, No. 8

[17]
Density functional theory data (PBE-GGA) for an optimized crystal structure of Pm2Ho2Tm2Mg.

a = 12.0785 Å, b = 3.6327 Å, c = 11.5119 Å
α = 90.00°, β = 119.04°, γ = 90.00°
Element x y z (fractional)
Pm1 0.0266 0.0000 0.2440
Pm2 0.4734 0.5000 0.7560
Pm3 0.5266 0.5000 0.2440
Pm4 0.9734 0.0000 0.7560
Ho1 0.1810 0.0000 0.5875
Ho2 0.3190 0.5000 0.4125
Ho3 0.6810 0.5000 0.5875
Ho4 0.8190 0.0000 0.4125
Tm1 0.2453 0.0000 0.1264
Tm2 0.2547 0.5000 0.8736
Tm3 0.7453 0.5000 0.1264
Tm4 0.7547 0.0000 0.8736
Mg1 0.0000 0.5000 0.0000
Mg2 0.5000 0.0000 0.0000

Summary:
Space-group type = C2/m, No. 12
Energy of formation = 0.090 eV per atom

[18]
Density functional theory data (PBE-GGA) for an optimized crystal structure of Rb6TlAu.

a = 4.8789 Å, b = 14.0554 Å, c = 15.6212 Å
α = 90.00°, β = 90.00°, γ = 90.00°
Element x y z (fractional)
Rb1 0.0000 0.0000 0.0000
Rb2 0.0000 0.1521 0.7080
Rb3 0.0000 0.3479 0.2080
Rb4 0.0000 0.5000 0.5000
Rb5 0.0000 0.6521 0.2080
Rb6 0.0000 0.8479 0.7080
Rb7 0.5000 0.0000 0.2685
Rb8 0.5000 0.2135 0.4682
Rb9 0.5000 0.2865 0.9682
Rb10 0.5000 0.5000 0.7685
Rb11 0.5000 0.7135 0.9682
Rb12 0.5000 0.7865 0.4682
Tl1 0.0000 0.0000 0.4910
Tl2 0.0000 0.5000 0.9910
Au1 0.5000 0.0000 0.5914
Au2 0.5000 0.5000 0.0914

Summary:
Space-group type = Amm2, No. 38
Energy of formation = -0.080 eV per atom

[19]
Density functional theory data (PBE-GGA) for an optimized crystal structure of KNaTc2O6.

a = 7.6740 Å, b = 7.6740 Å, c = 7.2612 Å
α = 94.66°, β = 94.66°, γ = 107.29°
Element x y z (fractional)
K1 0.1055 0.8945 0.7500
K2 0.8945 0.1055 0.2500
Na1 0.4173 0.5827 0.2500
Na2 0.5827 0.4173 0.7500
Tc1 0.0986 0.3965 0.7643
Tc2 0.3965 0.0986 0.2643
Tc3 0.6035 0.9014 0.7357
Tc4 0.9014 0.6035 0.2357
O1 0.0707 0.4940 0.2300
O2 0.0717 0.2110 0.5995
O3 0.2110 0.0717 0.0995
O4 0.3064 0.4814 0.9063
O5 0.4814 0.3064 0.4063
O6 0.4940 0.0707 0.7300
O7 0.5060 0.9293 0.2700
O8 0.5186 0.6936 0.5937
O9 0.6936 0.5186 0.0937
O10 0.7890 0.9283 0.9005
O11 0.9283 0.7890 0.4005
O12 0.9293 0.5060 0.7700

Summary:
Formation energy (no corrections) = -1297 meV per atom
Space-group type = C2/c, No. 15

[20]
Density functional theory data (PBE-GGA) for an optimized crystal structure of TaBePb2.

a = 10.3190 Å, b = 3.1277 Å, c = 5.3687 Å
α = 90.00°, β = 94.95°, γ = 90.00°
Element x y z (fractional)
Ta1 0.0000 0.0000 0.0000
Ta2 0.5000 0.5000 0.0000
Be1 0.0000 0.5000 0.5000
Be2 0.5000 0.0000 0.5000
Pb1 0.2399 0.5000 0.2478
Pb2 0.2601 0.0000 0.7522
Pb3 0.7399 0.0000 0.2478
Pb4 0.7601 0.5000 0.7522

Summary:
Space-group type = C2/m, No. 12
Energy of formation = 0.831 eV per atom

[21]
Density functional theory data (PBE-GGA) for an optimized crystal structure of Ta2ZnCl.

a = 2.9034 Å, b = 4.1024 Å, c = 5.7625 Å
α = 90.00°, β = 94.85°, γ = 90.00°
Element x y z (fractional)
Ta1 0.0552 0.0000 0.2494
Ta2 0.9448 0.0000 0.7506
Zn1 0.5000 0.5000 0.0000
Cl1 0.0000 0.5000 0.5000

Summary:
Formation energy (no corrections) = 299 meV per atom
Space-group type = P2/m, No. 10

[22]
Density functional theory data (PBE-GGA) for an optimized crystal structure of Ho6Tm4Th.

a = 8.4351 Å, b = 8.4351 Å, c = 8.4351 Å
α = 127.46°, β = 127.46°, γ = 77.50°
Element x y z (fractional)
Ho1 0.0000 0.5000 0.5000
Ho2 0.0540 0.5799 0.0000
Ho3 0.4201 0.4201 0.4740
Ho4 0.5000 0.0000 0.5000
Ho5 0.5799 0.0540 0.0000
Ho6 0.9460 0.9460 0.5260
Tm1 0.2563 0.2563 0.6692
Tm2 0.4129 0.7437 0.0000
Tm3 0.5871 0.5871 0.3308
Tm4 0.7437 0.4129 0.0000
Th1 0.0000 0.0000 0.0000

Summary:
Space-group type = I-42m, No. 121
Energy of formation = 0.464 eV per atom

[23]
Density functional theory data (PBE-GGA) for an optimized crystal structure of AlAsPt2.

a = 9.7548 Å, b = 2.9505 Å, c = 4.4894 Å
α = 90.00°, β = 95.88°, γ = 90.00°
Element x y z (fractional)
Al1 0.0000 0.0000 0.0000
Al2 0.5000 0.5000 0.0000
As1 0.2598 0.5000 0.3482
As2 0.7598 0.0000 0.3482
Pt1 0.0203 0.5000 0.5107
Pt2 0.2726 0.0000 0.8444
Pt3 0.5203 0.0000 0.5107
Pt4 0.7726 0.5000 0.8444

Summary:
Space-group type = Cm, No. 8
Energy of formation = -0.451 eV per atom

[24]
Density functional theory data (PBE-GGA) for an optimized crystal structure of Tb3Cu3Bi4.

a = 8.5330 Å, b = 8.5330 Å, c = 8.5330 Å
α = 109.47°, β = 109.47°, γ = 109.47°
Element x y z (fractional)
Tb1 0.1250 0.8750 0.2500
Tb2 0.2500 0.1250 0.8750
Tb3 0.3750 0.6250 0.7500
Tb4 0.6250 0.7500 0.3750
Tb5 0.7500 0.3750 0.6250
Tb6 0.8750 0.2500 0.1250
Cu1 0.1250 0.7500 0.8750
Cu2 0.2500 0.6250 0.3750
Cu3 0.3750 0.2500 0.6250
Cu4 0.6250 0.3750 0.2500
Cu5 0.7500 0.8750 0.1250
Cu6 0.8750 0.1250 0.7500
Bi1 0.0000 0.1659 0.5000
Bi2 0.0000 0.6659 0.5000
Bi3 0.1659 0.5000 0.0000
Bi4 0.3341 0.3341 0.3341
Bi5 0.5000 0.0000 0.1659
Bi6 0.5000 0.0000 0.6659
Bi7 0.6659 0.5000 0.0000
Bi8 0.8341 0.8341 0.8341

Summary:
Space-group type = I-43d, No. 220
Energy of formation = -0.523 eV per atom